A plane-wave DFT calculation with PBE was carried out for Pm4PrTe6 after structural relaxation.

Output
Fermi-level density of states (states/eV/f.u.): 3.66
Total moment (μB per formula unit): 0.000
E_form (uncorrected) (eV per atom): -1.440
Symmetry: Cmcm, No. 63
DFT total energy (eV for the cell shown): -116.94

```
Pm4PrTe6
1.0
2.190 -7.315 0.000
2.190 7.315 0.000
0.000 0.000 22.786
Pm Pr Te
8 2 12
Cartesian
2.190 6.041 14.258 Pm
2.190 6.041 19.921 Pm
2.190 2.096 12.217 Pm
2.190 2.096 21.962 Pm
2.190 -2.096 0.824 Pm
2.190 -2.096 10.569 Pm
2.190 -6.041 2.865 Pm
2.190 -6.041 8.528 Pm
2.190 5.034 5.696 Pr
2.190 -5.034 17.089 Pr
0.000 0.000 0.000 Te
0.000 0.000 11.393 Te
2.190 4.628 17.089 Te
2.190 3.401 2.132 Te
2.190 3.401 9.261 Te
2.190 0.811 15.165 Te
2.190 0.811 19.014 Te
2.190 -0.811 3.772 Te
2.190 -0.811 7.621 Te
2.190 -3.401 13.525 Te
2.190 -3.401 20.653 Te
2.190 -4.628 5.696 Te
```

***

A plane-wave DFT calculation with PBE was carried out for Pm2Pr3Te8 after structural relaxation.

Output
Fermi-level density of states (states/eV/f.u.): 7.29
Total moment (μB per formula unit): 0.000
E_form (uncorrected) (eV per atom): -1.274
Symmetry: C2/m, No. 12
DFT total energy (eV for the cell shown): -65.53

```
Pm2Pr3Te8
1.0
7.881 -4.508 0.000
7.881 4.508 0.000
-2.534 0.000 7.318
Pm Pr Te
2 3 8
Cartesian
3.496 0.000 1.208 Pm
9.731 0.000 6.110 Pm
6.614 2.342 3.659 Pr
7.881 0.000 0.000 Pr
6.614 -2.342 3.659 Pr
0.887 0.000 2.912 Te
5.710 2.219 0.615 Te
4.479 0.000 4.231 Te
7.517 2.219 6.703 Te
5.710 -2.219 0.615 Te
8.749 0.000 3.087 Te
7.517 -2.219 6.703 Te
12.340 0.000 4.406 Te
```

***

- Look up the DFT total energy of the second one.
  -65.53 eV for the cell shown